Entry 1:
Below is LiSc2Cl after structural relaxation, with properties calculated at the GGA-PBE level.

Structure (POSCAR):
```
LiSc2Cl
1.0
-2.953 -1.179 -4.045
1.448 -3.722 -3.244
-2.559 -4.463 -0.103
Cl Sc Li
1 2 1
Direct
0.500 0.500 0.500 Cl
0.000 0.000 0.000 Sc
0.250 0.250 0.250 Sc
0.750 0.750 0.750 Li
```

Computed properties:
* calculated volume: 96 Å³/f.u.
* final energy: -3.831 eV per atom
* energy above the most stable polymorph in this dataset: 0.871 eV per atom
* total magnetic moment: 3.736 μB per cell
* Fermi-level density of states: 1.9575 states/eV per atom

---

Entry 2:
Below is LiScCl2 after structural relaxation, with properties calculated at the GGA-PBE level.

Structure (POSCAR):
```
LiScCl2
1.0
-4.279 4.200 5.392
-0.895 4.489 6.639
-2.048 6.690 4.010
Li Cl Sc
1 2 1
Direct
0.500 0.500 0.500 Li
0.106 0.106 0.106 Cl
0.894 0.894 0.894 Cl
0.000 0.000 0.000 Sc
```

Computed properties:
* calculated volume: 88 Å³/f.u.
* final energy: -4.390 eV per atom
* energy above the most stable polymorph in this dataset: 0.000 eV per atom
* total magnetic moment: 0.000 μB per cell
* Fermi-level density of states: 0.0888 states/eV per atom

---

Entry 3:
Below is LiScCl3 after structural relaxation, with properties calculated at the GGA-PBE level.

Structure (POSCAR):
```
LiScCl3
1.0
6.013 0.127 0.114
0.402 6.018 0.118
0.395 0.383 5.986
Li Cl Sc
1 3 1
Direct
0.508 0.508 0.508 Li
0.166 0.661 0.661 Cl
0.660 0.660 0.165 Cl
0.661 0.166 0.661 Cl
0.812 0.812 0.812 Sc
```

Computed properties:
* calculated volume: 216 Å³/f.u.
* final energy: -4.302 eV per atom
* total magnetic moment: 1.000 μB per cell

---

Entry 4:
Below is Li2ScCl5 after structural relaxation, with properties calculated at the GGA-PBE level.

Structure (POSCAR):
```
Li2ScCl5
1.0
-0.158 -4.253 2.548
5.798 3.252 0.960
-5.051 6.096 9.859
Cl Li Sc
10 4 2
Direct
0.045 0.089 0.121 Cl
0.955 0.911 0.621 Cl
0.314 0.629 0.411 Cl
0.686 0.371 0.911 Cl
0.276 0.551 0.750 Cl
0.955 0.911 0.879 Cl
0.314 0.629 0.089 Cl
0.724 0.449 0.250 Cl
0.686 0.371 0.589 Cl
0.045 0.089 0.379 Cl
0.853 0.706 0.043 Li
0.147 0.294 0.543 Li
0.147 0.294 0.957 Li
0.853 0.706 0.457 Li
0.811 0.623 0.750 Sc
0.189 0.377 0.250 Sc
```

Computed properties:
* calculated volume: 196 Å³/f.u.
* final energy: -4.341 eV per atom
* energy above the most stable polymorph in this dataset: 0.000 eV per atom
* total magnetic moment: 0.000 μB per cell
* Fermi-level density of states: 0.0000 states/eV per atom

---

Entry 5:
Below is Li3ScCl6 after structural relaxation, with properties calculated at the GGA-PBE level.

Structure (POSCAR):
```
Li3ScCl6
1.0
6.399 -0.005 -0.013
-3.176 5.556 -0.013
1.094 1.883 24.349
Li Cl Sc
12 24 4
Direct
0.165 0.580 0.375 Li
0.718 0.783 0.750 Li
0.586 0.669 0.124 Li
0.924 0.343 0.125 Li
0.081 0.172 0.625 Li
0.657 0.076 0.875 Li
0.466 0.534 0.500 Li
0.331 0.414 0.876 Li
0.420 0.835 0.625 Li
0.828 0.919 0.375 Li
0.217 0.282 0.250 Li
0.625 0.375 0.000 Li
0.655 0.713 0.936 Cl
0.425 0.499 0.685 Cl
0.603 0.039 0.066 Cl
0.730 0.152 0.681 Cl
0.172 0.245 0.435 Cl
0.961 0.397 0.934 Cl
0.102 0.523 0.569 Cl
0.501 0.575 0.315 Cl
0.545 0.307 0.184 Cl
0.307 0.061 0.931 Cl
0.693 0.455 0.816 Cl
0.185 0.952 0.318 Cl
0.241 0.657 0.180 Cl
0.848 0.270 0.319 Cl
0.996 0.076 0.817 Cl
0.343 0.759 0.820 Cl
0.048 0.815 0.682 Cl
0.439 0.206 0.568 Cl
0.477 0.898 0.431 Cl
0.794 0.561 0.432 Cl
0.924 0.004 0.183 Cl
0.755 0.828 0.565 Cl
0.287 0.345 0.064 Cl
0.939 0.693 0.069 Cl
0.999 0.747 0.876 Sc
0.753 0.501 0.625 Sc
0.253 0.001 0.124 Sc
0.499 0.247 0.375 Sc
```

Computed properties:
* calculated volume: 216 Å³/f.u.
* final energy: -4.245 eV per atom
* energy above the most stable polymorph in this dataset: 0.000 eV per atom
* total magnetic moment: 0.000 μB per cell
* Fermi-level density of states: 0.0000 states/eV per atom

---

Entry 6:
Below is Li3ScCl6 after structural relaxation, with properties calculated at the GGA-PBE level.

Structure (POSCAR):
```
Li3ScCl6
1.0
7.617 -0.022 -0.186
-0.191 7.614 -0.186
-0.021 -0.022 7.619
Cl Li Sc
12 6 2
Direct
0.396 0.194 0.557 Cl
0.557 0.396 0.194 Cl
0.927 0.090 0.306 Cl
0.806 0.443 0.604 Cl
0.306 0.927 0.090 Cl
0.073 0.910 0.694 Cl
0.443 0.604 0.806 Cl
0.194 0.557 0.396 Cl
0.604 0.806 0.443 Cl
0.090 0.306 0.927 Cl
0.910 0.694 0.073 Cl
0.694 0.073 0.910 Cl
0.243 0.571 0.076 Li
0.571 0.076 0.243 Li
0.076 0.243 0.571 Li
0.429 0.924 0.757 Li
0.757 0.429 0.924 Li
0.924 0.757 0.429 Li
0.500 0.500 0.500 Sc
0.000 0.000 0.000 Sc
```

Computed properties:
* calculated volume: 221 Å³/f.u.
* final energy: -4.216 eV per atom
* energy above the most stable polymorph in this dataset: 0.029 eV per atom
* total magnetic moment: 0.000 μB per cell
* Fermi-level density of states: 0.0000 states/eV per atom

---

Entry 7:
Below is LiScSnCl6 after structural relaxation, with properties calculated at the GGA-PBE level.

Structure (POSCAR):
```
LiScSnCl6
1.0
-4.189 -0.126 5.058
-2.123 -1.392 -6.058
2.572 -11.907 1.834
Li Cl Sn Sc
2 12 2 2
Direct
0.667 0.333 0.750 Li
0.333 0.667 0.250 Li
0.354 0.363 0.865 Cl
0.991 0.637 0.365 Cl
0.009 0.363 0.635 Cl
0.637 0.646 0.635 Cl
0.646 0.009 0.365 Cl
0.354 0.991 0.635 Cl
0.363 0.354 0.365 Cl
0.646 0.637 0.135 Cl
0.637 0.991 0.865 Cl
0.991 0.354 0.135 Cl
0.009 0.646 0.865 Cl
0.363 0.009 0.135 Cl
0.000 0.000 0.500 Sn
0.000 0.000 0.000 Sn
0.333 0.667 0.750 Sc
0.667 0.333 0.250 Sc
```

Computed properties:
* calculated volume: 230 Å³/f.u.
* final energy: -4.256 eV per atom
* total magnetic moment: 0.000 μB per cell
* Fermi-level density of states: 0.0000 states/eV per atom

---

Entry 8:
Below is LiScTc2Cl after structural relaxation, with properties calculated at the GGA-PBE level.

Structure (POSCAR):
```
LiScTc2Cl
1.0
-0.170 -2.253 -4.159
-4.942 -2.850 1.746
-2.646 3.495 -1.785
Sc Tc Cl Li
1 2 1 1
Direct
0.000 0.000 0.000 Sc
0.500 0.000 0.000 Tc
0.000 0.000 0.500 Tc
0.500 0.500 0.500 Cl
0.000 0.500 0.000 Li
```

Computed properties:
* calculated volume: 134 Å³/f.u.
* final energy: -4.758 eV per atom
* total magnetic moment: 4.611 μB per cell
* Fermi-level density of states: 0.9509 states/eV per atom